Entry 1:
# K2HoVO4 (PBE with a Hubbard U, relaxed)
data_K2HoVO4
_cell_length_a 5.695
_cell_length_b 5.695
_cell_length_c 5.695
_cell_angle_alpha 98.96
_cell_angle_beta 114.97
_cell_angle_gamma 114.97
_symmetry_space_group_name_H-M 'P 1'
_symmetry_Int_Tables_number 1
loop_
_symmetry_equiv_pos_as_xyz
'x,y,z'
loop_
_atom_site_label
_atom_site_type_symbol
_atom_site_fract_x
_atom_site_fract_y
_atom_site_fract_z
V1 V 0.000 0.500 0.500
O1 O 0.404 0.834 0.720
K1 K 0.000 0.000 0.000
O2 O 0.885 0.569 0.166
Ho1 Ho 0.500 0.250 0.750
O3 O 0.115 0.280 0.684
O4 O 0.596 0.316 0.431
K2 K 0.500 0.750 0.250
# - total DFT energy (no corrections) (eV/atom) = -6.37
# - total magnetization (μB per formula unit) = 0.04

Entry 2:
# K2Ho2VO6 (PBE with a Hubbard U, relaxed)
data_K2Ho2VO6
_cell_length_a 5.707
_cell_length_b 5.707
_cell_length_c 6.563
_cell_angle_alpha 97.46
_cell_angle_beta 97.46
_cell_angle_gamma 119.89
_symmetry_space_group_name_H-M 'P 1'
_symmetry_Int_Tables_number 1
loop_
_symmetry_equiv_pos_as_xyz
'x,y,z'
loop_
_atom_site_label
_atom_site_type_symbol
_atom_site_fract_x
_atom_site_fract_y
_atom_site_fract_z
Ho1 Ho 0.333 0.667 0.500
K1 K 0.838 0.162 0.000
Ho2 Ho 0.667 0.333 0.500
O1 O 0.048 0.360 0.672
O2 O 0.765 0.765 0.665
V1 V 0.000 0.000 0.500
K2 K 0.162 0.838 0.000
O3 O 0.640 0.952 0.328
O4 O 0.360 0.048 0.672
O5 O 0.235 0.235 0.335
O6 O 0.952 0.640 0.328
# - total DFT energy (no corrections) (eV/atom) = -6.99
# - total magnetization (μB per formula unit) = 1.00

Entry 3:
# K3Ho3VO8 (PBE with a Hubbard U, relaxed)
data_K3Ho3VO8
_cell_length_a 6.701
_cell_length_b 6.697
_cell_length_c 7.375
_cell_angle_alpha 117.03
_cell_angle_beta 90.00
_cell_angle_gamma 120.02
_symmetry_space_group_name_H-M 'P 1'
_symmetry_Int_Tables_number 1
loop_
_symmetry_equiv_pos_as_xyz
'x,y,z'
loop_
_atom_site_label
_atom_site_type_symbol
_atom_site_fract_x
_atom_site_fract_y
_atom_site_fract_z
O1 O 0.207 0.962 0.669
K1 K 0.500 0.500 0.000
K2 K 0.000 0.500 0.000
Ho1 Ho 0.500 0.000 0.500
O2 O 0.244 0.038 0.331
O3 O 0.794 0.588 0.332
Ho2 Ho 0.500 0.500 0.500
O4 O 0.272 0.544 0.317
Ho3 Ho 0.000 0.500 0.500
V1 V 0.000 0.000 0.500
O5 O 0.728 0.456 0.683
O6 O 0.206 0.412 0.668
K3 K 0.000 0.000 0.000
O7 O 0.793 0.038 0.331
O8 O 0.756 0.962 0.669
# - total DFT energy (no corrections) (eV/atom) = -6.91
# - total magnetization (μB per formula unit) = 1.00